(1)
Here is a geometry-optimized LiPuZnF6 structure from the Alexandria database. Energies are from PBE-GGA.

Results
- uncorrected formation energy (eV per atom) = -2.92
- total energy (eV per cell) = -110.077
- spin magnetization (μB per formula unit) = 5.000
- SG = P-31c (163)

Unit cell a=5.676 b=5.676 c=8.810 alpha=90.00 beta=90.00 gamma=120.00
Fractional positions:
Li 0.000 0.000 0.000
Li 0.000 0.000 0.500
Pu 0.333 0.667 0.250
Pu 0.667 0.333 0.750
Zn 0.667 0.333 0.250
Zn 0.333 0.667 0.750
F 0.685 0.652 0.126
F 0.967 0.315 0.126
F 0.315 0.967 0.626
F 0.033 0.685 0.874
F 0.348 0.315 0.374
F 0.967 0.652 0.374
F 0.652 0.967 0.874
F 0.685 0.033 0.374
F 0.033 0.348 0.626
F 0.348 0.033 0.126
F 0.652 0.685 0.626
F 0.315 0.348 0.874



(2)
Here is a geometry-optimized RbLi3F structure from the Alexandria database. Energies are from PBE-GGA.

Results
- uncorrected formation energy (eV per atom) = 0.38
- total energy (eV per cell) = -6.697
- spin magnetization (μB per formula unit) = 0.002
- energy above the most stable polymorph in this dataset (kJ/mol of atoms) = 96.7
- SG = Pm-3m (221)

Unit cell a=6.376 b=6.376 c=6.376 alpha=90.00 beta=90.00 gamma=90.00
Fractional positions:
Li 0.000 0.500 0.000
Li 0.000 0.000 0.500
Li 0.500 0.000 0.000
Rb 0.000 0.000 0.000
F 0.500 0.500 0.500



(3)
Here is a geometry-optimized RbLi2F structure from the Alexandria database. Energies are from PBE-GGA.

Results
- uncorrected formation energy (eV per atom) = -1.14
- total energy (eV per cell) = -22.454
- spin magnetization (μB per formula unit) = 0.000
- energy above the most stable polymorph in this dataset (kJ/mol of atoms) = 0.0
- SG = I4_1/amd (141)

Unit cell a=6.838 b=6.838 c=6.845 alpha=60.03 beta=60.03 gamma=90.00
Fractional positions:
Li 0.375 0.125 0.250
Li 0.375 0.625 0.250
Li 0.375 0.625 0.750
Li 0.875 0.625 0.750
Rb 0.000 0.000 0.000
Rb 0.750 0.250 0.500
F 0.500 0.500 0.000
F 0.250 0.750 0.500



(4)
Here is a geometry-optimized RbLiF2 structure from the Alexandria database. Energies are from PBE-GGA.

Results
- uncorrected formation energy (eV per atom) = -2.63
- total energy (eV per cell) = -17.153
- spin magnetization (μB per formula unit) = 0.000
- energy above the most stable polymorph in this dataset (kJ/mol of atoms) = 16.6
- SG = R-3m (166)

Unit cell a=6.954 b=6.954 c=6.954 alpha=34.50 beta=34.50 gamma=34.50
Fractional positions:
Li 0.000 0.000 0.000
Rb 0.500 0.500 0.500
F 0.912 0.912 0.912
F 0.088 0.088 0.088



(5)
Here is a geometry-optimized RbLiF2 structure from the Alexandria database. Energies are from PBE-GGA.

Results
- uncorrected formation energy (eV per atom) = -2.39
- total energy (eV per cell) = -16.200
- spin magnetization (μB per formula unit) = 0.064
- energy above the most stable polymorph in this dataset (kJ/mol of atoms) = 39.6
- SG = P4/mmm (123)

Unit cell a=3.087 b=3.087 c=6.240 alpha=90.00 beta=90.00 gamma=90.00
Fractional positions:
Li 0.500 0.500 0.000
Rb 0.500 0.500 0.500
F 0.000 0.000 0.788
F 0.000 0.000 0.212



(6)
Here is a geometry-optimized Rb2LiF7 structure from the Alexandria database. Energies are from PBE-GGA.

Results
- uncorrected formation energy (eV per atom) = -1.61
- total energy (eV per cell) = -33.080
- spin magnetization (μB per formula unit) = 2.000
- SG = I4/mmm (139)

Unit cell a=6.337 b=6.337 c=6.065 alpha=58.50 beta=58.50 gamma=90.00
Fractional positions:
Li 0.500 0.500 0.000
Rb 0.750 0.250 0.500
Rb 0.250 0.750 0.500
F 0.000 0.000 0.000
F 0.209 0.209 0.582
F 0.791 0.791 0.418
F 0.294 0.294 0.000
F 0.706 0.706 0.000
F 0.706 0.294 0.000
F 0.294 0.706 0.000



(7)
Here is a geometry-optimized RbLiF2 structure from the Alexandria database. Energies are from PBE-GGA.

Results
- uncorrected formation energy (eV per atom) = -2.59
- total energy (eV per cell) = -16.965
- spin magnetization (μB per formula unit) = 0.089
- energy above the most stable polymorph in this dataset (kJ/mol of atoms) = 21.1
- SG = R3m (160)

Unit cell a=3.400 b=3.400 c=6.362 alpha=74.50 beta=74.50 gamma=60.00
Fractional positions:
Rb 0.499 0.499 0.503
Li 0.667 0.667 0.998
F 0.062 0.062 0.814
F 0.272 0.272 0.185



(8)
Here is a geometry-optimized RbLiF2 structure from the Alexandria database. Energies are from PBE-GGA.

Results
- uncorrected formation energy (eV per atom) = -2.76
- total energy (eV per cell) = -35.316
- spin magnetization (μB per formula unit) = 0.089
- energy above the most stable polymorph in this dataset (kJ/mol of atoms) = 4.4
- SG = P4_2/m (84)

Unit cell a=4.680 b=6.150 c=6.150 alpha=90.00 beta=90.00 gamma=90.00
Fractional positions:
Rb 0.221 0.737 0.824
Rb 0.721 0.237 0.324
Li 0.472 0.237 0.824
Li 0.972 0.237 0.824
F 0.222 0.332 0.041
F 0.222 0.142 0.608
F 0.722 0.454 0.729
F 0.722 0.021 0.919



(9)
Here is a geometry-optimized RbLiF2 structure from the Alexandria database. Energies are from PBE-GGA.

Results
- uncorrected formation energy (eV per atom) = -2.27
- total energy (eV per cell) = -15.703
- spin magnetization (μB per formula unit) = 0.000
- energy above the most stable polymorph in this dataset (kJ/mol of atoms) = 51.6
- SG = R-3m (166)

Unit cell a=7.274 b=7.274 c=7.274 alpha=27.25 beta=27.25 gamma=27.25
Fractional positions:
Li 0.500 0.500 0.500
Rb 0.000 0.000 0.000
F 0.885 0.885 0.885
F 0.115 0.115 0.115



(10)
Here is a geometry-optimized RbLiF2 structure from the Alexandria database. Energies are from PBE-GGA.

Results
- uncorrected formation energy (eV per atom) = -2.77
- total energy (eV per cell) = -35.386
- spin magnetization (μB per formula unit) = 0.000
- energy above the most stable polymorph in this dataset (kJ/mol of atoms) = 3.5
- SG = I-42d (122)

Unit cell a=5.927 b=5.927 c=5.603 alpha=58.07 beta=58.07 gamma=90.00
Fractional positions:
Li 0.500 0.500 0.000
Li 0.250 0.750 0.500
Rb 0.000 0.000 0.000
Rb 0.750 0.250 0.500
F 0.505 0.125 0.250
F 0.245 0.625 0.250
F 0.375 0.495 0.750
F 0.875 0.755 0.750



(11)
Here is a geometry-optimized RbLi3F structure from the Alexandria database. Energies are from PBE-GGA.

Results
- uncorrected formation energy (eV per atom) = -0.63
- total energy (eV per cell) = -11.710
- spin magnetization (μB per formula unit) = 0.000
- energy above the most stable polymorph in this dataset (kJ/mol of atoms) = 0.0
- SG = Pm-3m (221)

Unit cell a=5.043 b=5.043 c=5.043 alpha=90.00 beta=90.00 gamma=90.00
Fractional positions:
Li 0.000 0.500 0.000
Li 0.000 0.000 0.500
Li 0.500 0.000 0.000
Rb 0.500 0.500 0.500
F 0.000 0.000 0.000



(12)
Here is a geometry-optimized RbLiF2 structure from the Alexandria database. Energies are from PBE-GGA.

Results
- uncorrected formation energy (eV per atom) = -2.80
- total energy (eV per cell) = -71.360
- spin magnetization (μB per formula unit) = 0.089
- energy above the most stable polymorph in this dataset (kJ/mol of atoms) = 0.0
- SG = C2/c (15)

Unit cell a=6.415 b=6.415 c=7.938 alpha=87.24 beta=87.24 gamma=124.94
Fractional positions:
F 0.567 0.845 0.584
F 0.155 0.433 0.916
F 0.433 0.155 0.416
F 0.845 0.567 0.084
F 0.113 0.887 0.750
F 0.887 0.113 0.250
F 0.691 0.309 0.750
F 0.309 0.691 0.250
Li 0.440 0.042 0.640
Li 0.958 0.560 0.860
Li 0.560 0.958 0.360
Li 0.042 0.440 0.140
Rb 0.676 0.856 0.931
Rb 0.144 0.324 0.569
Rb 0.324 0.144 0.069
Rb 0.856 0.676 0.431



(13)
Here is a geometry-optimized RbLi2F structure from the Alexandria database. Energies are from PBE-GGA.

Results
- uncorrected formation energy (eV per atom) = -0.41
- total energy (eV per cell) = -8.321
- spin magnetization (μB per formula unit) = 0.000
- energy above the most stable polymorph in this dataset (kJ/mol of atoms) = 70.1
- SG = Fm-3m (225)

Unit cell a=5.432 b=5.432 c=5.432 alpha=60.00 beta=60.00 gamma=60.00
Fractional positions:
Li 0.250 0.250 0.250
Li 0.750 0.750 0.750
Rb 0.500 0.500 0.500
F 0.000 0.000 0.000



(14)
Here is a geometry-optimized Rb3LiF5 structure from the Alexandria database. Energies are from PBE-GGA.

Results
- uncorrected formation energy (eV per atom) = -2.45
- total energy (eV per cell) = -72.384
- spin magnetization (μB per formula unit) = 1.073
- SG = I4/mcm (140)

Unit cell a=7.566 b=7.566 c=8.130 alpha=117.73 beta=117.73 gamma=90.00
Fractional positions:
Rb 0.671 0.171 0.000
Rb 0.329 0.829 0.000
Rb 0.829 0.671 0.000
Rb 0.171 0.329 0.000
Rb 0.250 0.250 0.500
Rb 0.750 0.750 0.500
Li 0.750 0.250 0.500
Li 0.250 0.750 0.500
F 0.981 0.481 0.697
F 0.715 0.215 0.697
F 0.215 0.981 0.697
F 0.481 0.715 0.697
F 0.019 0.519 0.303
F 0.285 0.785 0.303
F 0.785 0.019 0.303
F 0.519 0.285 0.303
F 0.500 0.500 0.000
F 0.000 0.000 0.000



(15)
Here is a geometry-optimized Rb4LiF7 structure from the Alexandria database. Energies are from PBE-GGA.

Results
- uncorrected formation energy (eV per atom) = -2.26
- total energy (eV per cell) = -45.948
- spin magnetization (μB per formula unit) = 1.205
- SG = C2/m (12)

Unit cell a=4.084 b=7.679 c=8.895 alpha=69.75 beta=76.73 gamma=74.58
Fractional positions:
Rb 0.552 0.637 0.259
Rb 0.448 0.363 0.741
Rb 0.714 0.867 0.705
Rb 0.286 0.133 0.295
Li 0.000 0.000 0.000
F 0.758 0.493 0.990
F 0.242 0.507 0.010
F 0.064 0.097 0.775
F 0.936 0.903 0.225
F 0.356 0.740 0.549
F 0.500 0.000 0.000
F 0.644 0.260 0.451



(16)
Here is a geometry-optimized RbLiF2 structure from the Alexandria database. Energies are from PBE-GGA.

Results
- uncorrected formation energy (eV per atom) = -2.34
- total energy (eV per cell) = -16.002
- spin magnetization (μB per formula unit) = 0.000
- energy above the most stable polymorph in this dataset (kJ/mol of atoms) = 44.3
- SG = Fm-3m (225)

Unit cell a=4.472 b=4.472 c=4.472 alpha=60.00 beta=60.00 gamma=60.00
Fractional positions:
Li 0.000 0.000 0.000
Rb 0.500 0.500 0.500
F 0.250 0.250 0.250
F 0.750 0.750 0.750



(17)
Here is a geometry-optimized Rb5LiF5 structure from the Alexandria database. Energies are from PBE-GGA.

Results
- uncorrected formation energy (eV per atom) = -2.32
- total energy (eV per cell) = -41.620
- spin magnetization (μB per formula unit) = 0.367
- SG = C2/m (12)

Unit cell a=5.598 b=6.809 c=8.154 alpha=103.51 beta=90.00 gamma=114.27
Fractional positions:
Rb 0.667 0.335 0.317
Rb 0.670 0.340 0.853
Rb 0.000 0.000 0.500
Rb 0.330 0.660 0.147
Rb 0.333 0.665 0.683
Li 0.000 0.000 0.000
F 0.882 0.763 0.108
F 0.819 0.637 0.644
F 0.500 0.000 0.000
F 0.181 0.363 0.356
F 0.118 0.237 0.892



(18)
Here is a geometry-optimized RbLiF2 structure from the Alexandria database. Energies are from PBE-GGA.

Results
- uncorrected formation energy (eV per atom) = -2.79
- total energy (eV per cell) = -35.607
- spin magnetization (μB per formula unit) = 0.000
- energy above the most stable polymorph in this dataset (kJ/mol of atoms) = 0.9
- SG = P4/nmm (129)

Unit cell a=3.953 b=3.953 c=7.913 alpha=90.01 beta=90.01 gamma=90.00
Fractional positions:
Rb 0.250 0.250 0.815
Rb 0.750 0.750 0.185
Li 0.250 0.250 0.423
Li 0.750 0.750 0.577
F 0.750 0.750 0.820
F 0.750 0.250 0.500
F 0.250 0.250 0.180
F 0.250 0.750 0.500



(19)
Here is a geometry-optimized Rb3LiF3 structure from the Alexandria database. Energies are from PBE-GGA.

Results
- uncorrected formation energy (eV per atom) = -2.29
- total energy (eV per cell) = -52.866
- spin magnetization (μB per formula unit) = 0.000
- SG = C2/m (12)

Unit cell a=7.689 b=7.689 c=8.640 alpha=91.99 beta=91.99 gamma=120.51
Fractional positions:
Rb 0.607 0.607 0.303
Rb 0.228 0.772 0.500
Rb 0.772 0.228 0.500
Rb 0.144 0.856 0.000
Rb 0.856 0.144 0.000
Rb 0.393 0.393 0.697
Li 0.830 0.830 0.651
Li 0.170 0.170 0.349
F 0.967 0.967 0.227
F 0.830 0.607 0.572
F 0.607 0.830 0.572
F 0.170 0.393 0.428
F 0.393 0.170 0.428
F 0.033 0.033 0.773



(20)
Here is a geometry-optimized RbLi2ReF8 structure from the Alexandria database. Energies are from PBE-GGA.

Results
- uncorrected formation energy (eV per atom) = -2.40
- total energy (eV per cell) = -61.045
- spin magnetization (μB per formula unit) = 2.414
- SG = R-3 (148)

Unit cell a=5.169 b=5.169 c=8.300 alpha=71.86 beta=71.86 gamma=60.00
Fractional positions:
Rb 0.500 0.500 0.500
Li 0.243 0.243 0.272
Li 0.757 0.757 0.728
Re 0.000 0.000 0.000
F 0.168 0.168 0.497
F 0.636 0.242 0.145
F 0.832 0.832 0.503
F 0.977 0.636 0.145
F 0.023 0.364 0.855
F 0.242 0.977 0.145
F 0.758 0.023 0.855
F 0.364 0.758 0.855